The following is a PBE-GGA calculation of an optimized crystal structure of SmCu2Pt4, from the Alexandria database. Values from VASP.

Output
symmetry = I4/mmm (139)
formation energy from the elements = 75.9 meV/atom
N(E_F) = 6.998 states/eV per cell
E above lowest polymorph = 0.556 eV/atom
total magnetic moment = 0.00 μB per formula unit

Quantum ESPRESSO input file:
```
&SYSTEM
  ibrav = 0, nat = 7, ntyp = 3
/
ATOMIC_SPECIES
Sm 150.36 Sm.upf
Cu 63.55 Cu.upf
Pt 195.08 Pt.upf
ATOMIC_POSITIONS angstrom
Sm 0.0000 0.0000 0.0000
Cu 3.9537 0.0000 1.2342
Cu 0.0000 3.9537 1.2342
Pt 3.9537 2.1416 0.0000
Pt 2.1416 3.9537 0.0000
Pt 1.8121 0.0000 2.4684
Pt 0.0000 1.8121 2.4684
CELL_PARAMETERS angstrom
-3.9537 3.9537 2.4684
3.9537 -3.9537 2.4684
3.9537 3.9537 -2.4684
```